## Tm3Zn2Pb2 (PBE-GGA)

Data for a relaxed structure of Tm3Zn2Pb2.

## Properties
Formation energy from the elements   -0.3300 eV/atom
M_tot   0.00 μB per atom
D(E_F)   9.516 states/eV per cell
Theoretical density   10.0 g/cm³
Crystal system   orthorhombic

a b c (Å): 4.299 4.344 18.771
angles (deg): 90.00 90.00 90.00
Space group Immm (No. 71)
Symmetry-distinct sites (fractional):
Tm1 0.000 0.000 0.000 x2
Tm2 0.000 0.500 0.182 x4
Zn1 0.000 0.000 0.438 x4
Pb1 0.000 0.500 0.349 x4